Entry 1:
VASP calculation (PBE) on Pm13Ho3 after structural relaxation.

## Properties
Formation enthalpy at 0 K, eV/atom: 0.029
DOS(E_F), states/eV/atom: 1.728
Crystal system: orthorhombic
Mass density, g/cm³: 7.25
Polymorph energy (0 for the lowest one), meV/atom: 15
Electronic total energy, eV per atom: -4.689

a b c (Å): 7.342 11.680 12.710
angles (deg): 90.00 90.00 90.00
Space group Amm2 (No. 38)
One atom of each set of equivalent atoms:
1 Pm 0.000 0.000 0.000 (multiplicity 2)
2 Pm 0.000 0.000 0.502 (multiplicity 2)
3 Pm 0.000 0.247 0.669 (multiplicity 4)
4 Pm 0.250 0.000 0.250 (multiplicity 4)
5 Pm 0.251 0.248 0.918 (multiplicity 8)
6 Pm 0.500 0.000 0.503 (multiplicity 2)
7 Pm 0.500 0.249 0.668 (multiplicity 4)
8 Ho 0.251 0.000 0.753 (multiplicity 4)
9 Ho 0.500 0.000 0.000 (multiplicity 2)


Entry 2:
VASP calculation (PBE) on Pm4Ho after structural relaxation.

## Properties
Formation enthalpy at 0 K, eV/atom: 0.649
DOS(E_F), states/eV/atom: 1.648
Crystal system: cubic
Mass density, g/cm³: 6.37
Polymorph energy (0 for the lowest one), meV/atom: 637
Electronic total energy, eV per atom: -4.067

a b c (Å): 5.792 5.792 5.792
angles (deg): 90.00 90.00 90.00
Space group Pm-3m (No. 221)
One atom of each set of equivalent atoms:
1 Pm 0.000 0.000 0.000 (multiplicity 1)
2 Pm 0.000 0.500 0.500 (multiplicity 3)
3 Ho 0.500 0.500 0.500 (multiplicity 1)


Entry 3:
VASP calculation (PBE) on Pm4Ho3 after structural relaxation.

## Properties
Formation enthalpy at 0 K, eV/atom: 0.016
DOS(E_F), states/eV/atom: 1.315
Crystal system: monoclinic
Mass density, g/cm³: 7.76
Polymorph energy (0 for the lowest one), meV/atom: 0
Electronic total energy, eV per atom: -4.661

a b c (Å): 11.338 5.088 8.056
angles (deg): 90.00 98.11 90.00
Space group C2/m (No. 12)
One atom of each set of equivalent atoms:
1 Pm 0.142 0.000 0.427 (multiplicity 4)
2 Pm 0.214 0.500 0.142 (multiplicity 4)
3 Ho 0.000 0.000 0.000 (multiplicity 2)
4 Ho 0.071 0.500 0.714 (multiplicity 4)


Entry 4:
VASP calculation (PBE) on Pm3Ho7 after structural relaxation.

## Properties
Formation enthalpy at 0 K, eV/atom: 0.182
DOS(E_F), states/eV/atom: 1.647
Crystal system: hexagonal
Mass density, g/cm³: 8.15
Polymorph energy (0 for the lowest one), meV/atom: 132
Electronic total energy, eV per atom: -4.448

a b c (Å): 10.7496 10.7496 6.4737
angles (deg): 90.00 90.00 120.00
Space group P6_3mc (No. 186)
One atom of each set of equivalent atoms:
1 Pm 0.2033 0.4065 0.0000 (multiplicity 6)
2 Ho 0.0583 0.5292 0.6569 (multiplicity 6)
3 Ho 0.1210 0.2420 0.4811 (multiplicity 6)
4 Ho 0.3333 0.6667 0.3469 (multiplicity 2)


Entry 5:
VASP calculation (PBE) on Pm7Ho3 after structural relaxation.

## Properties
Formation enthalpy at 0 K, eV/atom: 0.161
DOS(E_F), states/eV/atom: 0.897
Crystal system: hexagonal
Mass density, g/cm³: 7.41
Polymorph energy (0 for the lowest one), meV/atom: 146
Electronic total energy, eV per atom: -4.538

a b c (Å): 11.6760 11.6760 5.7346
angles (deg): 90.00 90.00 120.00
Space group P6_3mc (No. 186)
One atom of each set of equivalent atoms:
1 Pm 0.0496 0.5248 0.0000 (multiplicity 6)
2 Pm 0.1149 0.2299 0.0018 (multiplicity 6)
3 Pm 0.3333 0.6667 0.0034 (multiplicity 2)
4 Ho 0.2240 0.4480 0.5019 (multiplicity 6)


Entry 6:
VASP calculation (PBE) on Pm4Ho after structural relaxation.

## Properties
Formation enthalpy at 0 K, eV/atom: 0.012
DOS(E_F), states/eV/atom: 1.223
Crystal system: monoclinic
Mass density, g/cm³: 7.36
Polymorph energy (0 for the lowest one), meV/atom: 0
Electronic total energy, eV per atom: -4.704

a b c (Å): 6.280 3.624 14.907
angles (deg): 90.00 97.98 90.00
Space group C2/m (No. 12)
One atom of each set of equivalent atoms:
1 Pm 0.101 0.000 0.304 (multiplicity 4)
2 Pm 0.201 0.500 0.101 (multiplicity 4)
3 Ho 0.000 0.500 0.500 (multiplicity 2)


Entry 7:
VASP calculation (PBE) on PmHo after structural relaxation.

## Properties
Formation enthalpy at 0 K, eV/atom: 0.026
DOS(E_F), states/eV/atom: 1.767
Crystal system: hexagonal
Mass density, g/cm³: 7.81
Polymorph energy (0 for the lowest one), meV/atom: 9
Electronic total energy, eV per atom: -4.639

a b c (Å): 3.6366 3.6366 5.7551
angles (deg): 90.00 90.00 120.00
Space group P-6m2 (No. 187)
One atom of each set of equivalent atoms:
1 Pm 0.0000 0.0000 0.0000 (multiplicity 1)
2 Ho 0.3333 0.6667 0.5000 (multiplicity 1)


Entry 8:
VASP calculation (PBE) on PmHo6 after structural relaxation.

## Properties
Formation enthalpy at 0 K, eV/atom: 1.450
DOS(E_F), states/eV/atom: 1.045
Crystal system: cubic
Mass density, g/cm³: 7.25
Electronic total energy, eV per atom: -3.152

a b c (Å): 8.038 8.038 8.038
angles (deg): 90.00 90.00 90.00
Space group Im-3m (No. 229)
One atom of each set of equivalent atoms:
1 Pm 0.000 0.000 0.000 (multiplicity 2)
2 Ho 0.000 0.250 0.500 (multiplicity 12)


Entry 9:
VASP calculation (PBE) on Pm3Ho7 after structural relaxation.

## Properties
Formation enthalpy at 0 K, eV/atom: 0.050
DOS(E_F), states/eV/atom: 1.609
Crystal system: monoclinic
Mass density, g/cm³: 8.24
Polymorph energy (0 for the lowest one), meV/atom: 0
Electronic total energy, eV per atom: -4.580

a b c (Å): 16.623 5.633 6.997
angles (deg): 90.00 102.21 90.00
Space group C2/m (No. 12)
One atom of each set of equivalent atoms:
1 Pm 0.000 0.000 0.000 (multiplicity 2)
2 Pm 0.214 0.000 0.853 (multiplicity 4)
3 Ho 0.000 0.000 0.500 (multiplicity 2)
4 Ho 0.097 0.500 0.303 (multiplicity 4)
5 Ho 0.100 0.500 0.797 (multiplicity 4)
6 Ho 0.210 0.000 0.358 (multiplicity 4)


Entry 10:
VASP calculation (PBE) on Pm3Ho2 after structural relaxation.

## Properties
Formation enthalpy at 0 K, eV/atom: 0.017
DOS(E_F), states/eV/atom: 1.422
Crystal system: monoclinic
Mass density, g/cm³: 7.70
Electronic total energy, eV per atom: -4.664

a b c (Å): 11.364 5.089 8.047
angles (deg): 90.00 134.86 90.00
Space group C2/m (No. 12)
One atom of each set of equivalent atoms:
1 Pm 0.000 0.000 0.000 (multiplicity 2)
2 Pm 0.099 0.500 0.398 (multiplicity 4)
3 Ho 0.199 0.000 0.800 (multiplicity 4)


Entry 11:
VASP calculation (PBE) on Pm5Ho3 after structural relaxation.

## Properties
Formation enthalpy at 0 K, eV/atom: 0.020
DOS(E_F), states/eV/atom: 1.602
Crystal system: orthorhombic
Mass density, g/cm³: 7.66
Electronic total energy, eV per atom: -4.666

a b c (Å): 5.075 5.106 10.201
angles (deg): 90.00 90.00 90.00
Space group Pmmm (No. 47)
One atom of each set of equivalent atoms:
1 Pm 0.000 0.000 0.000 (multiplicity 1)
2 Pm 0.000 0.000 0.500 (multiplicity 1)
3 Pm 0.000 0.500 0.248 (multiplicity 2)
4 Pm 0.500 0.500 0.500 (multiplicity 1)
5 Ho 0.500 0.000 0.248 (multiplicity 2)
6 Ho 0.500 0.500 0.000 (multiplicity 1)


Entry 12:
VASP calculation (PBE) on PmHo after structural relaxation.

## Properties
Formation enthalpy at 0 K, eV/atom: 0.117
DOS(E_F), states/eV/atom: 2.072
Crystal system: cubic
Mass density, g/cm³: 7.78
Polymorph energy (0 for the lowest one), meV/atom: 101
Electronic total energy, eV per atom: -4.547

a b c (Å): 4.045 4.045 4.045
angles (deg): 90.00 90.00 90.00
Space group Pm-3m (No. 221)
One atom of each set of equivalent atoms:
1 Pm 0.000 0.000 0.000 (multiplicity 1)
2 Ho 0.500 0.500 0.500 (multiplicity 1)